GaCuMoOs: relaxed, GGA-PBE.

abc: 6.1254 6.1254 6.1254
angles: 90.00 90.00 90.00
Closest atoms and distances in Å follow each position.
Space group F-43m (No. 216)
One atom of each set of equivalent atoms:
1 Ga 0.0000 0.0000 0.0000 (multiplicity 4)  4 Os 2.65, 4 Cu 2.65
2 Cu 0.2500 0.2500 0.7500 (multiplicity 4)  4 Ga 2.65, 4 Mo 2.65
3 Mo 0.0000 0.0000 0.5000 (multiplicity 4)  4 Os 2.65, 4 Cu 2.65
4 Os 0.2500 0.2500 0.2500 (multiplicity 4)  4 Mo 2.65, 4 Ga 2.65

Calculated values
ΔH_f (0 K) = 75 meV/atom

GaCuMo2P: relaxed, GGA-PBE.

abc: 4.7222 4.7222 4.4160
angles: 90.00 90.00 90.00
Closest atoms and distances in Å follow each position.
Space group P4/mmm (No. 123)
One atom of each set of equivalent atoms:
1 Ga 0.0000 0.0000 0.0000 (multiplicity 1)  2 P 2.21, 4 Mo 2.36
2 Cu 0.5000 0.5000 0.5000 (multiplicity 1)  8 Mo 3.23, 4 P 3.34
3 Mo 0.0000 0.5000 0.0000 (multiplicity 2)  2 Ga 2.36
4 P 0.0000 0.0000 0.5000 (multiplicity 1)  2 Ga 2.21

Calculated values
ΔH_f (0 K) = 1726 meV/atom

GaCuTcMo: relaxed, GGA-PBE.

abc: 6.1301 6.1301 6.1301
angles: 90.00 90.00 90.00
Closest atoms and distances in Å follow each position.
Space group F-43m (No. 216)
One atom of each set of equivalent atoms:
1 Ga 0.0000 0.0000 0.0000 (multiplicity 4)  4 Tc 2.65, 4 Cu 2.65
2 Cu 0.2500 0.2500 0.7500 (multiplicity 4)  4 Mo 2.65, 4 Ga 2.65
3 Tc 0.2500 0.2500 0.2500 (multiplicity 4)  4 Ga 2.65, 4 Mo 2.65
4 Mo 0.0000 0.0000 0.5000 (multiplicity 4)  4 Tc 2.65, 4 Cu 2.65

Calculated values
ΔH_f (0 K) = 60 meV/atom

ZrGa2CuMo: relaxed, GGA-PBE.

abc: 4.3885 4.3885 4.7948
angles: 90.00 90.00 90.00
Closest atoms and distances in Å follow each position.
Space group P4/mmm (No. 123)
One atom of each set of equivalent atoms:
1 Zr 0.0000 0.0000 0.0000 (multiplicity 1)  4 Mo 3.10, 8 Ga 3.25
2 Ga 0.0000 0.5000 0.5000 (multiplicity 2)  2 Cu 2.19
3 Cu 0.5000 0.5000 0.5000 (multiplicity 1)  4 Ga 2.19, 2 Mo 2.40
4 Mo 0.5000 0.5000 0.0000 (multiplicity 1)  2 Cu 2.40

Calculated values
ΔH_f (0 K) = 503 meV/atom

GaCu3N: relaxed, GGA-PBE.

abc: 3.9781 3.9781 3.9781
angles: 90.00 90.00 90.00
Closest atoms and distances in Å follow each position.
Space group Pm-3m (No. 221)
One atom of each set of equivalent atoms:
1 Ga 0.0000 0.0000 0.0000 (multiplicity 1)  12 Cu 2.81
2 Cu 0.0000 0.5000 0.5000 (multiplicity 3)  2 N 1.99
3 N 0.5000 0.5000 0.5000 (multiplicity 1)  6 Cu 1.99

Calculated values
raw formation energy = 0.30 eV/atom
polymorph energy (0 for the lowest one) = 0.0 kJ/mol of atoms

GaCu3N: relaxed, GGA-PBE.

abc: 4.4184 4.4184 4.4184
angles: 90.00 90.00 90.00
Closest atoms and distances in Å follow each position.
Space group Pm-3m (No. 221)
One atom of each set of equivalent atoms:
1 Ga 0.0000 0.0000 0.0000 (multiplicity 1)  6 Cu 2.21
2 Cu 0.0000 0.0000 0.5000 (multiplicity 3)  2 Ga 2.21
3 N 0.5000 0.5000 0.5000 (multiplicity 1)  12 Cu 3.12

Calculated values
raw formation energy = 1.72 eV/atom
polymorph energy (0 for the lowest one) = 137.4 kJ/mol of atoms